Entry 1:
This record from the Alexandria database describes crystalline TmHf2Sc at its relaxed geometry. The functional is GGA-PBE.

As for the calculated formation energy: 83 meV/atom. For the final energy, the calculation gives -7.5942 eV per atom. The polymorph energy (0 for the lowest one) comes out at 0.0 meV/atom. The symmetry is Pmma (51). The total magnetization is 0.000 μB/cell.

Cell lengths 4.527, 4.617, 10.386 Å; angles 90.00, 115.84, 90.00 degrees
Fractional positions:
Tm 0.862 0.750 0.362
Tm 0.138 0.250 0.638
Hf 0.617 0.250 0.117
Hf 0.383 0.750 0.883
Hf 0.114 0.750 0.114
Hf 0.886 0.250 0.886
Sc 0.356 0.250 0.356
Sc 0.644 0.750 0.644

=====

Entry 2:
This record from the Alexandria database describes crystalline TmHfSc at its relaxed geometry. The functional is GGA-PBE.

As for the calculated formation energy: 81 meV/atom. For the final energy, the calculation gives -6.8377 eV per atom. The polymorph energy (0 for the lowest one) comes out at 0.0 meV/atom. The symmetry is I4mm (107). The total magnetization is 0.000 μB/cell.

Cell lengths 3.276, 3.276, 7.437 Å; angles 102.72, 102.72, 90.00 degrees
Fractional positions:
Sc 0.322 0.322 0.644
Tm 0.007 0.007 0.015
Hf 0.671 0.671 0.341

=====

Entry 3:
This record from the Alexandria database describes crystalline Tm2HfSc5 at its relaxed geometry. The functional is GGA-PBE.

As for the calculated formation energy: 66 meV/atom. For the final energy, the calculation gives -6.2530 eV per atom. The symmetry is Pbam (55). The total magnetization is 0.001 μB/cell.

Cell lengths 4.643, 6.603, 13.225 Å; angles 90.00, 90.00, 90.00 degrees
Fractional positions:
Tm 0.500 0.245 0.622
Tm 0.500 0.755 0.378
Tm 0.500 0.255 0.122
Tm 0.500 0.745 0.878
Hf 0.000 0.000 0.500
Hf 0.000 0.500 0.000
Sc 0.000 0.000 0.000
Sc 0.000 0.500 0.500
Sc 0.000 0.500 0.755
Sc 0.000 0.500 0.245
Sc 0.000 0.000 0.255
Sc 0.000 0.000 0.745
Sc 0.500 0.257 0.879
Sc 0.500 0.743 0.121
Sc 0.500 0.243 0.379
Sc 0.500 0.757 0.621

=====

Entry 4:
This record from the Alexandria database describes crystalline TmHfSc2 at its relaxed geometry. The functional is GGA-PBE.

As for the calculated formation energy: 102 meV/atom. For the final energy, the calculation gives -6.6702 eV per atom. The polymorph energy (0 for the lowest one) comes out at 44.7 meV/atom. The symmetry is P4/mmm (123). The total magnetization is 0.000 μB/cell.

Cell lengths 4.591, 4.642, 4.642 Å; angles 90.00, 90.00, 90.00 degrees
Fractional positions:
Sc 0.000 0.000 0.500
Sc 0.000 0.500 0.000
Tm 0.500 0.500 0.500
Hf 0.500 0.000 0.000

=====

Entry 5:
This record from the Alexandria database describes crystalline TmHf3Sc7 at its relaxed geometry. The functional is GGA-PBE.

As for the calculated formation energy: 284 meV/atom. For the final energy, the calculation gives -6.8658 eV per atom. The symmetry is P3m1 (156). The total magnetization is 0.001 μB/cell.

Cell lengths 7.764, 6.428, 6.428 Å; angles 120.00, 90.00, 90.00 degrees
Fractional positions:
Tm 0.448 0.333 0.667
Hf 0.786 0.501 0.499
Hf 0.786 0.501 0.003
Hf 0.786 0.997 0.499
Sc 0.102 0.167 0.833
Sc 0.102 0.167 0.333
Sc 0.115 0.667 0.333
Sc 0.462 0.832 0.168
Sc 0.462 0.336 0.168
Sc 0.462 0.832 0.664
Sc 0.102 0.667 0.833

=====

Entry 6:
This record from the Alexandria database describes crystalline Tm2Hf2Sc7 at its relaxed geometry. The functional is GGA-PBE.

As for the calculated formation energy: 177 meV/atom. For the final energy, the calculation gives -6.4748 eV per atom. The symmetry is C2/m (12). The total magnetization is 0.009 μB/cell.

Cell lengths 7.371, 6.391, 6.391 Å; angles 103.85, 80.02, 80.02 degrees
Fractional positions:
Tm 0.500 0.286 0.714
Tm 0.500 0.714 0.286
Hf 0.825 0.421 0.421
Hf 0.175 0.579 0.579
Sc 0.159 0.110 0.509
Sc 0.841 0.491 0.890
Sc 0.841 0.890 0.491
Sc 0.159 0.509 0.110
Sc 0.000 0.000 0.000
Sc 0.474 0.801 0.801
Sc 0.526 0.199 0.199